No. 1
# Gd2TlAg

A relaxed structure of Gd2TlAg (PBE, Alexandria).

**Magnetization**: 14.80 μB per formula unit
**Energy of formation**: -0.352 eV/atom
**Final energy**: -8.70 eV/atom

Unit cell a=3.6707 b=3.6707 c=7.8072 alpha=90.00 beta=90.00 gamma=90.00
Site moments in Bohr magnetons follow the coordinates.
Sites, in units of the cell vectors:
1 Tl 0.5000 0.5000 0.0000  -0.01
2 Gd 0.0000 0.0000 0.2632  7.16
3 Gd 0.0000 0.0000 0.7368  7.16
4 Ag 0.5000 0.5000 0.5000  0.01

=====

No. 2
# Gd2TlAg

A relaxed structure of Gd2TlAg (PBE, Alexandria).

**Magnetization**: 14.84 μB per formula unit
**Energy of formation**: -0.355 eV/atom
**Final energy**: -8.70 eV/atom

Unit cell a=5.3027 b=5.3027 c=5.3027 alpha=60.00 beta=60.00 gamma=60.00
Site moments in Bohr magnetons follow the coordinates.
Sites, in units of the cell vectors:
1 Gd 0.7500 0.7500 0.7500  7.17
2 Gd 0.2500 0.2500 0.2500  7.17
3 Tl 0.0000 0.0000 0.0000  0.00
4 Ag 0.5000 0.5000 0.5000  0.01

=====

No. 3
# GdTmTlAg

A relaxed structure of GdTmTlAg (PBE, Alexandria).

**Magnetization**: 7.42 μB per formula unit
**Energy of formation**: -0.336 eV/atom
**Final energy**: -6.28 eV/atom

Unit cell a=5.2534 b=5.2534 c=5.2534 alpha=60.00 beta=60.00 gamma=60.00
Site moments in Bohr magnetons follow the coordinates.
Sites, in units of the cell vectors:
1 Tm 0.0000 0.0000 0.0000  -0.09
2 Ag 0.7500 0.7500 0.7500  -0.01
3 Tl 0.2500 0.2500 0.2500  0.01
4 Gd 0.5000 0.5000 0.5000  -7.12

=====

No. 4
# GdYTlAg

A relaxed structure of GdYTlAg (PBE, Alexandria).

**Magnetization**: 7.51 μB per formula unit
**Energy of formation**: -0.357 eV/atom
**Final energy**: -6.80 eV/atom

Unit cell a=5.2907 b=5.2907 c=5.2907 alpha=60.00 beta=60.00 gamma=60.00
Site moments in Bohr magnetons follow the coordinates.
Sites, in units of the cell vectors:
1 Y 0.0000 0.0000 0.0000  0.09
2 Tl 0.7500 0.7500 0.7500  -0.01
3 Ag 0.2500 0.2500 0.2500  0.01
4 Gd 0.5000 0.5000 0.5000  7.13

=====

No. 5
# GdZrTlAg

A relaxed structure of GdZrTlAg (PBE, Alexandria).

**Magnetization**: 8.34 μB per formula unit
**Energy of formation**: -0.129 eV/atom
**Final energy**: -7.09 eV/atom

Unit cell a=5.1427 b=5.1427 c=5.1427 alpha=60.00 beta=60.00 gamma=60.00
Site moments in Bohr magnetons follow the coordinates.
Sites, in units of the cell vectors:
1 Ag 0.5000 0.5000 0.5000  0.02
2 Zr 0.2500 0.2500 0.2500  0.53
3 Tl 0.0000 0.0000 0.0000  -0.02
4 Gd 0.7500 0.7500 0.7500  7.24

=====

No. 6
# GdTm2Ag

A relaxed structure of GdTm2Ag (PBE, Alexandria).

**Magnetization**: 7.54 μB per formula unit
**Energy of formation**: 0.022 eV/atom
**Final energy**: -6.45 eV/atom

Unit cell a=3.7294 b=5.3435 c=5.3435 alpha=90.00 beta=90.00 gamma=90.00
Site moments in Bohr magnetons follow the coordinates.
Sites, in units of the cell vectors:
1 Gd 0.5000 0.5000 0.5000  7.19
2 Ag 0.5000 0.0000 0.0000  0.00
3 Tm 0.0000 0.5000 0.0000  0.09
4 Tm 0.0000 0.0000 0.5000  0.09

=====

Question: Which of these has the lowest magnetization?
Answer: GdTmTlAg

=====

Please write out number 6 again, unchanged.
# GdTm2Ag

A relaxed structure of GdTm2Ag (PBE, Alexandria).

**Magnetization**: 7.54 μB per formula unit
**Energy of formation**: 0.022 eV/atom
**Final energy**: -6.45 eV/atom

Unit cell a=3.7294 b=5.3435 c=5.3435 alpha=90.00 beta=90.00 gamma=90.00
Site moments in Bohr magnetons follow the coordinates.
Sites, in units of the cell vectors:
1 Gd 0.5000 0.5000 0.5000  7.19
2 Ag 0.5000 0.0000 0.0000  0.00
3 Tm 0.0000 0.5000 0.0000  0.09
4 Tm 0.0000 0.0000 0.5000  0.09

=====

Question: Which of these has the highest magnetization?
Answer: number 2

=====

What did the first record say?
# Gd2TlAg

A relaxed structure of Gd2TlAg (PBE, Alexandria).

**Magnetization**: 14.80 μB per formula unit
**Energy of formation**: -0.352 eV/atom
**Final energy**: -8.70 eV/atom

Unit cell a=3.6707 b=3.6707 c=7.8072 alpha=90.00 beta=90.00 gamma=90.00
Site moments in Bohr magnetons follow the coordinates.
Sites, in units of the cell vectors:
1 Tl 0.5000 0.5000 0.0000  -0.01
2 Gd 0.0000 0.0000 0.2632  7.16
3 Gd 0.0000 0.0000 0.7368  7.16
4 Ag 0.5000 0.5000 0.5000  0.01